[1]
# TaW2

TaW2 after structural relaxation (GGA-PBE, the Alexandria database).

The structure in POSCAR format:
```
TaW2
1.0
4.3945 0.0000 0.0000
2.1973 3.8058 0.0000
2.1973 1.2686 3.5881
W Ta
2 1
Direct
0.2500 0.2500 0.2500
0.7500 0.7500 0.7500
0.0000 0.0000 0.0000
```

Results
Its density of states at the Fermi level is 3.10 states/eV per cell. As for the space-group type: Fm-3m, No. 225. Its energy of formation is 3.64 eV/f.u. The total energy is -0.8359 Ry/atom.


[2]
# TaW2

TaW2 after structural relaxation (GGA-PBE, the Alexandria database).

The structure in POSCAR format:
```
TaW2
1.0
14.2762 0.0061 0.0000
13.2472 5.3219 0.0000
-13.7617 -2.6640 2.7072
Ta W
4 8
Direct
0.1672 0.6672 0.5000
0.3328 0.8328 0.5000
0.0828 0.0828 0.0000
0.9172 0.9172 0.0000
0.4167 0.4167 0.0000
0.2499 0.2499 0.0000
0.7501 0.7501 0.0000
0.6667 0.1667 0.5000
0.4999 0.9999 0.5000
0.5833 0.5833 0.0000
0.8334 0.3334 0.5000
0.0001 0.5001 0.5000
```

Results
Its density of states at the Fermi level is 7.89 states/eV per cell. As for the space-group type: I4_1/amd, No. 141. Its energy of formation is 0.74 eV/f.u. The total energy is -0.9071 Ry/atom.


[3]
# TaW2

TaW2 after structural relaxation (GGA-PBE, the Alexandria database).

The structure in POSCAR format:
```
TaW2
1.0
2.3829 -4.1272 0.0000
2.3829 4.1272 0.0000
0.0000 0.0000 5.2428
W Ta
4 2
Direct
0.6667 0.3333 0.2500
0.3333 0.6667 0.7500
0.0000 0.0000 0.0000
0.0000 0.0000 0.5000
0.3333 0.6667 0.2500
0.6667 0.3333 0.7500
```

Results
Its density of states at the Fermi level is 5.61 states/eV per cell. As for the space-group type: P6_3/mmc, No. 194. Its energy of formation is 1.25 eV/f.u. The total energy is -0.8944 Ry/atom.


Question: Look up the density of states at the Fermi level of the second one.
Answer: 7.89 states/eV per cell


Question: Among the records above, which one has the lowest total energy?
Answer: number 2